The following is a DFT calculation (PBEsol) of crystalline Zn2AsI at its relaxed geometry.

Lattice parameters (Å, degrees): 5.966 5.966 7.307 114.09 114.09 90.00
Positions (direct):
Zn1 0.625 0.556 0.750
I1 0.250 0.750 0.500
As1 0.500 0.500 0.000
Zn2 0.806 0.375 0.250
Zn3 0.444 0.875 0.250
I2 0.000 0.000 0.000
As2 0.750 0.250 0.500
Zn4 0.125 0.194 0.750

Electronic total energy ... -22.2 eV per cell
Volume ... 212 Å³ per cell
Space group ... No. 122
Total moment ... 0.00 μB/f.u.


The following is a DFT calculation (PBEsol) of crystalline Zr2AsI at its relaxed geometry.

Lattice parameters (Å, degrees): 5.111 5.111 9.018 106.46 106.46 90.00
Positions (direct):
I1 0.000 0.000 0.000
As1 0.750 0.250 0.500
Zr1 0.125 0.175 0.750
Zr2 0.425 0.875 0.250
Zr3 0.825 0.375 0.250
As2 0.500 0.500 0.000
Zr4 0.625 0.575 0.750
I2 0.250 0.750 0.500

Electronic total energy ... -50.3 eV per cell
Volume ... 216 Å³ per cell
Space group ... No. 122
Total moment ... 0.00 μB/f.u.


The following is a DFT calculation (PBEsol) of crystalline ZrAs2I at its relaxed geometry.

Lattice parameters (Å, degrees): 4.924 4.924 4.924 60.00 60.00 60.00
Positions (direct):
I1 0.500 0.500 0.500
As1 0.250 0.250 0.250
As2 0.750 0.750 0.750
Zr1 0.000 0.000 0.000

Electronic total energy ... -20.2 eV per cell
Volume ... 84 Å³ per cell
Space group ... No. 225
Total moment ... 0.00 μB/f.u.


The following is a DFT calculation (PBEsol) of crystalline InAs2 at its relaxed geometry.

Lattice parameters (Å, degrees): 2.997 4.901 4.901 120.00 90.00 90.00
Positions (direct):
In1 0.000 0.000 0.000
As1 0.500 0.667 0.333
As2 0.500 0.333 0.667

Electronic total energy ... -12.6 eV per cell
Volume ... 62 Å³ per cell
Formation energy from the elements ... 0.1954 eV per atom
Space group ... No. 191
Total moment ... 0.00 μB/f.u.


The following is a DFT calculation (PBEsol) of crystalline InAs3 at its relaxed geometry.

Lattice parameters (Å, degrees): 5.448 5.448 5.448 90.00 90.00 90.00
Positions (direct):
In1 0.500 0.500 0.500
As1 0.500 0.000 0.250
As2 0.000 0.250 0.500
As3 0.000 0.750 0.500
As4 0.750 0.500 0.000
In2 0.000 0.000 0.000
As5 0.250 0.500 0.000
As6 0.500 0.000 0.750

Electronic total energy ... -33.3 eV per cell
Volume ... 162 Å³ per cell
Formation energy from the elements ... 0.4157 eV per atom
Space group ... No. 223
Total moment ... 0.00 μB/f.u.


The following is a DFT calculation (PBEsol) of crystalline InAs at its relaxed geometry.

Lattice parameters (Å, degrees): 3.714 5.368 7.550 93.93 90.00 110.24
Positions (direct):
In1 0.983 0.967 0.630
As1 0.005 0.009 0.031
As2 0.459 0.917 0.255
In2 0.726 0.452 0.923
In3 0.732 0.464 0.350
As3 0.262 0.524 0.644

Electronic total energy ... -24.0 eV per cell
Volume ... 141 Å³ per cell
Formation energy from the elements ... 0.0429 eV per atom
Space group ... No. 8
Total moment ... 0.00 μB/f.u.


Number 3 is which compound? ZrAs2I


Number 3 is which compound? ZrAs2I


What is the formula in the second record? Zr2AsI


Among the records above, which one has the highest electronic total energy? InAs2